VASP calculation (PBEsol) on HfTiBrF2 after structural relaxation.

Properties
- formation energy (no corrections) (eV/atom) = -1.5341
- total energy (eV/atom) = -6.44
- volume (Å³ per cell) = 86

Cell lengths 3.867, 3.867, 5.754 Å; angles 90.00, 90.00, 90.00 degrees
Atoms (fractional coordinates):
F: 0.000 0.500 0.000
F: 0.500 0.000 0.000
Hf: 0.000 0.000 0.500
Br: 0.500 0.500 0.500
Ti: 0.000 0.000 0.000